1.
DFT (PBE) results for a relaxed structure of Y2HgIr.

Summary:
Its crystal system is tetragonal. As for the calculated total energy: -5.90 eV/atom.

Geometry as CIF:
```
data_Y2HgIr
_symmetry_space_group_name_H-M 'I -4 m 2'
_symmetry_Int_Tables_number 119
_symmetry_space_group_name_Hall 'I -4 -2'
_cell_length_a 4.304
_cell_length_b 4.304
_cell_length_c 9.660
_cell_angle_alpha 90.00
_cell_angle_beta 90.00
_cell_angle_gamma 90.00
loop_
_atom_site_label
_atom_site_type_symbol
_atom_site_fract_x
_atom_site_fract_y
_atom_site_fract_z
Y1 Y 0.000 0.000 0.000
Y2 Y 0.000 0.500 0.250
Hg1 Hg 0.000 0.500 0.750
Ir1 Ir 0.000 0.000 0.500
```

---

2.
DFT (PBE) results for a relaxed structure of Y2HgIr.

Summary:
Its crystal system is tetragonal. As for the calculated total energy: -6.21 eV/atom.

Geometry as CIF:
```
data_Y2HgIr
_symmetry_space_group_name_H-M 'P 4/m m m'
_symmetry_Int_Tables_number 123
_symmetry_space_group_name_Hall '-P 4 2'
_cell_length_a 3.523
_cell_length_b 3.523
_cell_length_c 7.461
_cell_angle_alpha 90.00
_cell_angle_beta 90.00
_cell_angle_gamma 90.00
loop_
_atom_site_label
_atom_site_type_symbol
_atom_site_fract_x
_atom_site_fract_y
_atom_site_fract_z
Y1 Y 0.000 0.000 0.220
Hg1 Hg 0.500 0.500 0.500
Ir1 Ir 0.500 0.500 0.000
```

---

3.
DFT (PBE) results for a relaxed structure of Y2HgIr.

Summary:
Its crystal system is tetragonal. As for the calculated total energy: -5.93 eV/atom.

Geometry as CIF:
```
data_Y2HgIr
_symmetry_space_group_name_H-M 'P 4 m m'
_symmetry_Int_Tables_number 99
_cell_length_a 4.063
_cell_length_b 4.063
_cell_length_c 6.166
_cell_angle_alpha 90.00
_cell_angle_beta 90.00
_cell_angle_gamma 90.00
loop_
_symmetry_equiv_pos_as_xyz
'x,y,z'
'-y,x,z'
'-x,-y,z'
'y,-x,z'
'-x,y,z'
'y,x,z'
'x,-y,z'
'-y,-x,z'
loop_
_atom_site_label
_atom_site_type_symbol
_atom_site_fract_x
_atom_site_fract_y
_atom_site_fract_z
Y1 Y 0.000 0.000 0.000
Y2 Y 0.500 0.500 0.364
Hg1 Hg 0.000 0.000 0.523
Ir1 Ir 0.500 0.500 0.924
```